Sr2CaAg | Alexandria | GGA-PBE | relaxed; ΔE_f = -0.02 eV per formula unit; spin magnetization = 0.00 μB per formula unit; E above lowest polymorph = 169 meV/atom; space group = Pmmm (47)
1.0
4.659 0.000 0.000
0.000 5.715 0.000
0.000 0.000 5.735
Sr Ca Ag
2 1 1
Cartesian
0.000 0.000 0.000 Sr
0.000 2.858 2.868 Sr
2.330 0.000 2.868 Ca
2.330 2.858 0.000 Ag


SrCa3Ag3 | Alexandria | GGA-PBE | relaxed; ΔE_f = 0.75 eV per formula unit; spin magnetization = 0.00 μB per formula unit; space group = Pm-3n (223)
1.0
8.212 0.000 0.000
0.000 8.212 0.000
0.000 0.000 8.212
Sr Ca Ag
2 6 6
Cartesian
0.000 0.000 0.000 Sr
4.106 4.106 4.106 Sr
0.000 2.053 4.106 Ca
0.000 6.159 4.106 Ca
2.053 4.106 0.000 Ca
4.106 0.000 2.053 Ca
4.106 0.000 6.159 Ca
6.159 4.106 0.000 Ca
0.000 4.106 2.053 Ag
0.000 4.106 6.159 Ag
2.053 0.000 4.106 Ag
4.106 2.053 0.000 Ag
4.106 6.159 0.000 Ag
6.159 0.000 4.106 Ag


SrCa3Ag | Alexandria | GGA-PBE | relaxed; ΔE_f = -0.55 eV per formula unit; spin magnetization = 0.00 μB per formula unit; E above lowest polymorph = 26 meV/atom; space group = P2_1/m (11)
1.0
6.263 0.000 0.000
0.000 7.808 0.000
-1.465 0.000 7.972
Sr Ca Ag
2 6 2
Cartesian
-0.026 1.952 0.655 Sr
4.824 5.856 7.317 Sr
0.009 5.856 3.380 Ca
1.733 0.097 6.060 Ca
1.733 3.807 6.060 Ca
3.065 4.001 1.912 Ca
3.065 7.710 1.912 Ca
4.789 1.952 4.592 Ca
1.511 1.952 3.610 Ag
3.287 5.856 4.362 Ag


SrCa6Ag4 | Alexandria | GGA-PBE | relaxed; ΔE_f = -1.02 eV per formula unit; spin magnetization = 0.00 μB per formula unit; space group = Cm (8)
1.0
4.593 -4.648 0.000
4.593 4.648 0.000
-4.562 0.000 8.485
Sr Ca Ag
1 6 4
Cartesian
0.000 0.000 0.000 Sr
0.017 2.183 5.416 Ca
2.451 0.000 3.073 Ca
6.875 2.310 0.007 Ca
0.017 -2.183 5.416 Ca
6.747 0.000 3.085 Ca
6.875 -2.310 0.007 Ca
-2.321 0.000 6.232 Ag
4.588 2.399 2.276 Ag
2.372 0.000 6.222 Ag
4.588 -2.399 2.276 Ag